1.
Below is Ta2ReAs after structural relaxation, with properties calculated at the GGA-PBE level.

The space group is R3m (No. 160, hexagonal axes) and the conventional cell measures 3.1207, 3.1207 and 24.6532 Å, with angles of 90.00, 90.00 and 120.00 degrees. The distinct sites, in fractional coordinates, are Ta at (0.0000, 0.0000, 0.0000), Ta at (0.0000, 0.0000, 0.2428), Re at (0.0000, 0.0000, 0.4942) and As at (0.0000, 0.0000, 0.7499).

The formation energy is 0.19 eV/atom.

***

2.
Below is TaReAs after structural relaxation, with properties calculated at the GGA-PBE level.

The space group is F-43m (No. 216) and the conventional cell measures 6.0729, 6.0729 and 6.0729 Å, with angles of 90.00, 90.00 and 90.00 degrees. The distinct sites, in fractional coordinates, are Ta at (0.0000, 0.0000, 0.0000), Re at (0.2500, 0.2500, 0.2500) and As at (0.0000, 0.0000, 0.5000).

The relative energy among the computed polymorphs is 0.658 eV per formula unit. The formation energy is 0.16 eV/atom.

***

Number 1: spin magnetization 0.00 μB/f.u.. Number 2: spin magnetization 0.00 μB/f.u..